Entry from the Alexandria database: crystalline Sc3TiW at its relaxed geometry (PBE).

Results
* space-group type: Pm-3m
* M_tot: 0.000 μB per atom
* energy above the lowest structure with this stoichiometry: 0 meV/atom
* energy of formation from the pure elements: 0.8805 eV/atom
* density: 4.8 g cm⁻³

Cell: 5.0275 5.0275 5.0275 Å, 90.00 90.00 90.00°
With the nearest neighbours (Å) after each atom.
Fractional coordinates of all 5 atoms:
Ti  0.5000  0.5000  0.5000  12 Sc 3.55
Sc  0.0000  0.5000  0.0000  2 W 2.51
Sc  0.5000  0.0000  0.0000  2 W 2.51
Sc  0.0000  0.0000  0.5000  2 W 2.51
W  0.0000  0.0000  0.0000  6 Sc 2.51

=====

Entry from the Alexandria database: crystalline CrCo2Ru at its relaxed geometry (PBE).

Results
* space-group type: Cmmm
* M_tot: 1.005 μB per atom
* energy above the lowest structure with this stoichiometry: 264 meV/atom
* energy of formation from the pure elements: 0.3158 eV/atom
* density: 9.2 g cm⁻³

Cell: 2.5148 2.5148 8.2920 Å, 90.00 90.00 111.79°
With the nearest neighbours (Å) after each atom.
Fractional coordinates of all 4 atoms:
Ru  0.5000  0.5000  0.7500  4 Ru 2.51, 4 Co 2.59
Co  0.0000  0.0000  0.0118  2 Cr 2.43, 4 Co 2.51, 2 Ru 2.59
Co  0.0000  0.0000  0.4882  2 Cr 2.43, 4 Co 2.51, 2 Ru 2.59
Cr  0.5000  0.5000  0.2500  4 Co 2.43, 4 Cr 2.51

=====

Entry from the Alexandria database: crystalline K4Ce3VSe8 at its relaxed geometry (PBE).

Results
* raw formation energy: -1.476 eV/atom
* space-group type: R-3m
* M_tot: 0.313 μB per atom
* density: 4.4 g cm⁻³

Cell: 8.4706 9.0974 8.4707 Å, 117.76 120.00 90.00°
With the nearest neighbours (Å) after each atom.
Fractional coordinates of all 16 atoms:
Se  0.2485  0.2997  0.0241  1 V 2.78, 2 Ce 2.95
Se  0.2244  0.7003  0.9759  1 V 2.78, 2 Ce 2.95
Se  0.2245  0.7003  0.4489  1 V 2.78, 2 Ce 2.95
Se  0.7756  0.2997  0.0241  1 V 2.78, 2 Ce 2.95
Se  0.7755  0.2997  0.5511  1 V 2.78, 2 Ce 2.95
Se  0.7378  0.7134  0.4757  3 Ce 2.94, 3 K 3.29
Se  0.7515  0.7003  0.9759  1 V 2.78, 2 Ce 2.95
Se  0.2622  0.2866  0.5243  3 Ce 2.94, 3 K 3.29
V  0.0000  0.5000  0.0000  6 Se 2.78
K  0.5000  0.0000  0.0000  6 Se 3.45
K  0.0000  0.0000  0.0000  6 Se 3.29-3.31
K  0.0000  0.0000  0.5000  6 Se 3.29-3.31
K  0.5000  0.0000  0.5000  6 Se 3.29-3.31
Ce  0.0000  0.5000  0.5000  6 Se 2.94-2.95
Ce  0.5000  0.5000  0.5000  6 Se 2.94-2.95
Ce  0.5000  0.5000  0.0000  6 Se 2.94-2.95

=====

Entry from the Alexandria database: crystalline Ti5Pd4N at its relaxed geometry (PBE).

Results
* raw formation energy: -0.751 eV/atom
* space-group type: I4/m
* M_tot: 0.000 μB per atom
* density: 7.6 g cm⁻³

Cell: 4.3168 6.2536 6.2536 Å, 83.16 69.81 69.81°
With the nearest neighbours (Å) after each atom.
Fractional coordinates of all 10 atoms:
Ti  0.8582  0.3434  0.9424  1 N 2.04
Ti  0.8006  0.0576  0.3434  1 N 2.04
Ti  0.5010  0.0000  0.0000  2 N 2.16
Ti  0.2015  0.9424  0.6566  1 N 2.04
Ti  0.1439  0.6566  0.0576  1 N 2.04
Pd  0.1685  0.3072  0.3579  5 Ti 2.61-2.77, 1 Pd 2.81
Pd  0.8336  0.6928  0.6421  5 Ti 2.61-2.77, 1 Pd 2.81
Pd  0.4756  0.3579  0.6928  5 Ti 2.61-2.77, 1 Pd 2.81
Pd  0.5264  0.6421  0.3072  5 Ti 2.61-2.77, 1 Pd 2.81
N  0.0010  0.0000  0.0000  6 Ti 2.04-2.16

=====

Entry from the Alexandria database: crystalline TmTh2Os at its relaxed geometry (PBE).

Results
* space-group type: Pnma
* M_tot: 0.000 μB per atom
* energy above the lowest structure with this stoichiometry: 0 meV/atom
* energy of formation from the pure elements: -0.2305 eV/atom
* density: 12.2 g cm⁻³

Cell: 6.2522 7.2608 9.8439 Å, 90.00 90.00 90.00°
With the nearest neighbours (Å) after each atom.
Fractional coordinates of all 16 atoms:
Th  0.1686  0.6701  0.4379  2 Os 2.85-2.86
Th  0.8314  0.3299  0.9379  2 Os 2.85-2.86
Th  0.3314  0.1701  0.0621  2 Os 2.85-2.86
Th  0.6686  0.8299  0.5621  2 Os 2.85-2.86
Th  0.8314  0.3299  0.5621  2 Os 2.85-2.86
Th  0.1686  0.6701  0.0621  2 Os 2.85-2.86
Th  0.3314  0.1701  0.4379  2 Os 2.85-2.86
Th  0.6686  0.8299  0.9379  2 Os 2.85-2.86
Tm  0.1495  0.9601  0.7500  2 Os 2.86-2.95
Tm  0.6495  0.5399  0.2500  2 Os 2.86-2.95
Tm  0.3505  0.4601  0.7500  2 Os 2.86-2.95
Tm  0.8505  0.0399  0.2500  2 Os 2.86-2.95
Os  0.5835  0.1205  0.7500  4 Th 2.85-2.86, 2 Tm 2.86-2.95
Os  0.9165  0.6205  0.7500  4 Th 2.85-2.86, 2 Tm 2.86-2.95
Os  0.4165  0.8795  0.2500  4 Th 2.85-2.86, 2 Tm 2.86-2.95
Os  0.0835  0.3795  0.2500  4 Th 2.85-2.86, 2 Tm 2.86-2.95

=====

Entry from the Alexandria database: crystalline V3FeRu at its relaxed geometry (PBE).

Results
* space-group type: Pm-3m
* M_tot: 0.000 μB per atom
* energy above the lowest structure with this stoichiometry: 971 meV/atom
* energy of formation from the pure elements: 0.7884 eV/atom
* density: 6.8 g cm⁻³

Cell: 4.2256 4.2256 4.2256 Å, 90.00 90.00 90.00°
With the nearest neighbours (Å) after each atom.
Fractional coordinates of all 5 atoms:
V  0.5000  0.0000  0.0000  2 Fe 2.11
V  0.0000  0.0000  0.5000  2 Fe 2.11
V  0.0000  0.5000  0.0000  2 Fe 2.11
Ru  0.5000  0.5000  0.5000  12 V 2.99
Fe  0.0000  0.0000  0.0000  6 V 2.11

=====

Entry from the Alexandria database: crystalline GeTePdI2 at its relaxed geometry (PBE).

Results
* raw formation energy: 0.316 eV/atom
* space-group type: P4/mmm
* M_tot: 0.000 μB per atom
* energy above the lowest structure with this stoichiometry: 0 meV/atom
* density: 5.9 g cm⁻³

Cell: 5.3944 5.3944 5.4117 Å, 90.00 90.00 90.00°
With the nearest neighbours (Å) after each atom.
Fractional coordinates of all 5 atoms:
Ge  0.5000  0.5000  0.5000  4 Te 3.81, 8 I 3.82
I  0.0000  0.5000  0.0000  2 Pd 2.70
I  0.5000  0.0000  0.0000  2 Pd 2.70
Te  0.0000  0.0000  0.5000  2 Pd 2.71
Pd  0.0000  0.0000  0.0000  4 I 2.70, 2 Te 2.71

=====

Entry from the Alexandria database: crystalline CsRb3Te at its relaxed geometry (PBE).

Results
* raw formation energy: 0.266 eV/atom
* space-group type: Pm-3m
* M_tot: 0.000 μB per atom
* energy above the lowest structure with this stoichiometry: 765 meV/atom
* density: 1.9 g cm⁻³

Cell: 7.6118 7.6118 7.6118 Å, 90.00 90.00 90.00°
With the nearest neighbours (Å) after each atom.
Fractional coordinates of all 5 atoms:
Rb  0.0000  0.5000  0.0000  2 Cs 3.81
Rb  0.5000  0.0000  0.0000  2 Cs 3.81
Rb  0.0000  0.0000  0.5000  2 Cs 3.81
Te  0.5000  0.5000  0.5000  12 Rb 5.38
Cs  0.0000  0.0000  0.0000  6 Rb 3.81

=====

Entry from the Alexandria database: crystalline SiBr2 at its relaxed geometry (PBE).

Results
* raw formation energy: -0.221 eV/atom
* space-group type: Cmcm
* M_tot: 0.000 μB per atom
* density: 2.1 g cm⁻³

Cell: 7.3210 7.3210 8.1492 Å, 90.00 90.00 135.83°
With the nearest neighbours (Å) after each atom.
Fractional coordinates of all 6 atoms:
Br  0.1609  0.4218  0.7500  1 Si 2.28
Br  0.5782  0.8391  0.2500  1 Si 2.28
Br  0.8391  0.5782  0.2500  1 Si 2.28
Br  0.4218  0.1609  0.7500  1 Si 2.28
Si  0.4486  0.4486  0.2500  2 Br 2.28
Si  0.5514  0.5514  0.7500  2 Br 2.28

=====

Entry from the Alexandria database: crystalline Na2NiH6Au at its relaxed geometry (PBE).

Results
* space-group type: I4/mmm
* electronic total energy: -3.3268 eV/atom
* M_tot: 0.000 μB per atom
* density: 5.4 g cm⁻³

Cell: 4.9547 4.9547 5.2315 Å, 61.73 61.73 90.00°
With the nearest neighbours (Å) after each atom.
Fractional coordinates of all 10 atoms:
H  0.2360  0.2360  0.0000  1 Ni 1.65, 1 Au 1.85
H  0.7640  0.2360  0.0000  1 Ni 1.65, 1 Au 1.85
H  0.2018  0.2018  0.5964  1 Ni 1.57
H  0.7640  0.7640  0.0000  1 Ni 1.65, 1 Au 1.85
H  0.2360  0.7640  0.0000  1 Ni 1.65, 1 Au 1.85
H  0.7982  0.7982  0.4036  1 Ni 1.57
Au  0.5000  0.5000  0.0000  4 H 1.85
Na  0.7500  0.2500  0.5000  12 H 2.51-2.62
Na  0.2500  0.7500  0.5000  12 H 2.51-2.62
Ni  0.0000  0.0000  0.0000  6 H 1.57-1.65

=====

Entry from the Alexandria database: crystalline KMgZr2 at its relaxed geometry (PBE).

Results
* space-group type: Cmm2
* M_tot: 0.000 μB per atom
* energy of formation from the pure elements: 0.2669 eV/atom
* density: 3.5 g cm⁻³

Cell: 3.1981 3.1981 11.3555 Å, 90.00 90.00 90.14°
With the nearest neighbours (Å) after each atom.
Fractional coordinates of all 4 atoms:
Zr  0.5000  0.5000  0.1954  8 Zr 3.09-3.20
Zr  0.0000  0.0000  0.0101  8 Zr 3.09-3.20, 4 Mg 3.36
Mg  0.5000  0.5000  0.7915  4 Mg 3.20, 4 Zr 3.36
K  0.0000  0.0000  0.5031  4 K 3.20

=====

Entry from the Alexandria database: crystalline RbSn2Sb2 at its relaxed geometry (PBE).

Results
* raw formation energy: -0.064 eV/atom
* space-group type: P4/mbm
* M_tot: 0.000 μB per atom
* density: 5.7 g cm⁻³

Cell: 9.1114 9.1114 3.9992 Å, 90.00 90.00 90.00°
With the nearest neighbours (Å) after each atom.
Fractional coordinates of all 10 atoms:
Rb  0.0000  0.0000  0.0000  4 Sb 3.58, 2 Rb 4.00
Rb  0.5000  0.5000  0.0000  4 Sb 3.58, 2 Rb 4.00
Sn  0.1418  0.6418  0.5000  4 Sb 3.18
Sn  0.6418  0.8582  0.5000  4 Sb 3.18
Sn  0.3582  0.1418  0.5000  4 Sb 3.18
Sn  0.8582  0.3582  0.5000  4 Sb 3.18
Sb  0.6289  0.1289  0.0000  4 Sn 3.18, 1 Sb 3.32
Sb  0.8711  0.6289  0.0000  4 Sn 3.18, 1 Sb 3.32
Sb  0.1289  0.3711  0.0000  4 Sn 3.18, 1 Sb 3.32
Sb  0.3711  0.8711  0.0000  4 Sn 3.18, 1 Sb 3.32

=====

Entry from the Alexandria database: crystalline Sr2BrCl at its relaxed geometry (PBE).

Results
* raw formation energy: -0.766 eV/atom
* space-group type: F-43m
* M_tot: 0.372 μB per atom
* energy above the lowest structure with this stoichiometry: 837 meV/atom
* density: 3.2 g cm⁻³

Cell: 5.9739 5.9739 5.9739 Å, 60.00 60.00 60.00°
With the nearest neighbours (Å) after each atom.
Fractional coordinates of all 4 atoms:
Br  0.5000  0.5000  0.5000  4 Cl 3.66, 4 Sr 3.66
Cl  0.7500  0.7500  0.7500  4 Br 3.66, 4 Sr 3.66
Sr  0.0000  0.0000  0.0000  4 Cl 3.66, 4 Sr 3.66
Sr  0.2500  0.2500  0.2500  4 Br 3.66, 4 Sr 3.66